[1]
The following is a PBEsol calculation of crystalline Sm2P3Pt4 at its relaxed geometry, from the Alexandria database.

a = 9.8380 Å, b = 9.8380 Å, c = 9.8380 Å
α = 155.89°, β = 155.89°, γ = 34.36°
Element x y z (fractional)
1 Sm 0.1274 0.1274 0.0000
2 Sm 0.8726 0.8726 0.0000
3 P 0.4258 0.4258 0.0000
4 P 0.5742 0.5742 0.0000
5 P 0.7500 0.2500 0.5000
6 Pt 0.3034 0.3034 0.0000
7 Pt 0.5007 0.0007 0.5000
8 Pt 0.6966 0.6966 0.0000
9 Pt 0.9993 0.4993 0.5000

For the formation energy from the elements, the calculation gives -1141 meV per atom. The value obtained for the mass density is 12.28 g/cm3. Its density of states at the Fermi level is 3.1 states/eV/cell.



[2]
The following is a PBEsol calculation of crystalline SnP3Pt at its relaxed geometry, from the Alexandria database.

a = 4.8311 Å, b = 4.8311 Å, c = 4.8311 Å
α = 90.00°, β = 90.00°, γ = 90.00°
Element x y z (fractional)
1 Sn 0.0000 0.0000 0.0000
2 P 0.0000 0.0000 0.5000
3 P 0.0000 0.5000 0.0000
4 P 0.5000 0.0000 0.0000
5 Pt 0.5000 0.5000 0.5000

For the formation energy from the elements, the calculation gives 1644 meV per atom. The value obtained for the mass density is 5.99 g/cm3. Its density of states at the Fermi level is 4.0 states/eV/cell.



[3]
The following is a PBEsol calculation of crystalline Sn3PPt at its relaxed geometry, from the Alexandria database.

a = 5.1007 Å, b = 5.1007 Å, c = 5.1007 Å
α = 90.00°, β = 90.00°, γ = 90.00°
Element x y z (fractional)
1 Sn 0.0000 0.0000 0.5000
2 Sn 0.0000 0.5000 0.0000
3 Sn 0.5000 0.0000 0.0000
4 P 0.5000 0.5000 0.5000
5 Pt 0.0000 0.0000 0.0000

For the formation energy from the elements, the calculation gives 322 meV per atom. The value obtained for the mass density is 7.28 g/cm3. Its density of states at the Fermi level is 1.9 states/eV/cell.



[4]
The following is a PBEsol calculation of crystalline SnP2Pt at its relaxed geometry, from the Alexandria database.

a = 6.8790 Å, b = 6.8790 Å, c = 6.8790 Å
α = 132.15°, β = 132.15°, γ = 69.99°
Element x y z (fractional)
1 Sn 0.0000 0.0000 0.0000
2 Sn 0.7500 0.2500 0.5000
3 P 0.1681 0.6250 0.0431
4 P 0.3750 0.4181 0.5431
5 P 0.5819 0.1250 0.9569
6 P 0.8750 0.8319 0.4569
7 Pt 0.2500 0.7500 0.5000
8 Pt 0.5000 0.5000 0.0000

For the formation energy from the elements, the calculation gives -164 meV per atom. The value obtained for the mass density is 7.11 g/cm3. Its density of states at the Fermi level is 3.4 states/eV/cell.



[5]
The following is a PBEsol calculation of crystalline SnPPt5 at its relaxed geometry, from the Alexandria database.

a = 3.9371 Å, b = 3.9371 Å, c = 7.0492 Å
α = 90.00°, β = 90.00°, γ = 90.00°
Element x y z (fractional)
1 Sn 0.0000 0.0000 0.0000
2 P 0.5000 0.5000 0.5000
3 Pt 0.0000 0.5000 0.2990
4 Pt 0.0000 0.5000 0.7010
5 Pt 0.5000 0.0000 0.2990
6 Pt 0.5000 0.0000 0.7010
7 Pt 0.5000 0.5000 0.0000

For the formation energy from the elements, the calculation gives -409 meV per atom. The value obtained for the mass density is 17.10 g/cm3. Its density of states at the Fermi level is 2.4 states/eV/cell.



[6]
The following is a PBEsol calculation of crystalline SrPPt2 at its relaxed geometry, from the Alexandria database.

a = 4.6946 Å, b = 4.6946 Å, c = 4.6946 Å
α = 60.00°, β = 60.00°, γ = 60.00°
Element x y z (fractional)
1 Sr 0.0000 0.0000 0.0000
2 P 0.2500 0.2500 0.2500
3 Pt 0.5000 0.5000 0.5000
4 Pt 0.7500 0.7500 0.7500

For the formation energy from the elements, the calculation gives -31 meV per atom. The value obtained for the mass density is 11.55 g/cm3. Its density of states at the Fermi level is 2.8 states/eV/cell.